Entry from Alexandria: crystalline NaFe2Ru at its relaxed geometry (PBE).

```
NaFe2Ru
1.0
0.000 2.959 2.959
2.959 0.000 2.959
2.959 2.959 0.000
Ru Fe Na
1 2 1
direct
0.500 0.500 0.500
0.250 0.250 0.250
0.750 0.750 0.750
0.000 0.000 0.000
```

Values from the calculation:
Symmetry ... Fm-3m (225)
Calculated formation energy ... 3.82 eV per formula unit
Energy above the most stable polymorph in this dataset ... 0 meV/atom
M_tot ... 0.0 μB per formula unit